First-principles (PBE) data for crystalline BC2 at its relaxed geometry, as listed in Alexandria via LeMat-Bulk.

a = 4.3632 Å, b = 4.5531 Å, c = 4.5550 Å
α = 61.55°, β = 72.81°, γ = 77.37°
Last column: nearest neighbours and their distance in Å.
Space group P-1 (No. 2)
Asymmetric unit:
B1 0.1762 0.0645 0.3830  2 C 1.61-1.63, 1 B 1.64
B2 0.2814 0.6656 0.7392  3 C 1.63-1.68
C1 0.1793 0.3167 0.7661  3 C 1.51-1.58, 1 B 1.68
C2 0.1864 0.6716 0.1215  3 C 1.52-1.60, 1 B 1.68
C3 0.3194 0.0115 0.0371  3 C 1.50-1.60, 1 B 1.63
C4 0.3265 0.3530 0.3900  2 C 1.53-1.58, 2 B 1.61-1.63

Properties
* ΔE to the lowest computed polymorph: 111 meV/atom
* magnetic moment: 0.00 Bohr magnetons per cell
* energy relative to the elements: 34 kJ per mole of atoms